Entry from the Alexandria database: InRu2Au after structural relaxation (PBE).

Geometry as CIF:
```
data_InRu2Au
_cell_length_a 2.9095
_cell_length_b 2.9095
_cell_length_c 27.1247
_cell_angle_alpha 90.00
_cell_angle_beta 90.00
_cell_angle_gamma 120.00
_symmetry_space_group_name_H-M 'R -3 m'
_symmetry_Int_Tables_number 166
_symmetry_space_group_name_Hall '-R 3 2"'
loop_
_atom_site_label
_atom_site_type_symbol
_atom_site_fract_x
_atom_site_fract_y
_atom_site_fract_z
In1 In 0.0000 0.0000 0.0000
Ru1 Ru 0.0000 0.0000 0.2506
Au1 Au 0.0000 0.0000 0.5000
```

D(E_F), states/eV per cell: 12.009
Volume, Å³/cell: 198.9
Spin magnetization, μB per formula unit: 0.68
Energy of formation, eV per atom: 0.414
E, eV per atom: -5.728